[1]
The following is a PBEsol calculation of crystalline PPtSe2 at its relaxed geometry, from the Alexandria database.

Lattice parameters (Å, degrees): 2.7941 2.7941 10.0293 90.00 90.00 90.00
Closest atoms and distances in Å follow each position.
Space group P4mm (No. 99)
Unique sites:
P 0.0000 0.0000 0.0000 (multiplicity 1)  4 Pt 2.47
Pt 0.5000 0.5000 0.1485 (multiplicity 1)  4 P 2.47
Se 0.0000 0.0000 0.3685 (multiplicity 1)  4 Se 2.79, 4 Pt 2.96
Se 0.5000 0.5000 0.7115 (multiplicity 1)  4 Se 2.79

Summary:
Total magnetic moment (Bohr magnetons per cell): 0.00
Uncorrected energy (eV/f.u.): -19.8
V (A^3/atom): 19.57
ΔE_f (raw) (meV/atom): 174

=====

[2]
The following is a PBEsol calculation of crystalline Li3Hg4 at its relaxed geometry, from the Alexandria database.

Lattice parameters (Å, degrees): 5.4009 5.4009 5.3437 90.00 90.00 120.00
Closest atoms and distances in Å follow each position.
Space group P6/mmm (No. 191)
Unique sites:
Li 0.0000 0.5000 0.0000 (multiplicity 3)  4 Li 2.70, 4 Hg 3.01
Hg 0.0000 0.0000 0.2498 (multiplicity 2)  2 Hg 2.67
Hg 0.3333 0.6667 0.5000 (multiplicity 2)  6 Li 3.09, 9 Hg 3.12-3.39

Summary:
Total magnetic moment (Bohr magnetons per cell): 0.00
Uncorrected energy (eV/f.u.): -9.5
E_form (eV/f.u.): -1.350
V (A^3/atom): 19.28

=====

[3]
The following is a PBEsol calculation of crystalline KSb2F at its relaxed geometry, from the Alexandria database.

Lattice parameters (Å, degrees): 7.2461 7.2461 7.2461 90.00 90.00 90.00
Closest atoms and distances in Å follow each position.
Space group Fm-3m (No. 225)
Unique sites:
K 0.0000 0.0000 0.0000 (multiplicity 4)  8 Sb 3.14
Sb 0.2500 0.2500 0.2500 (multiplicity 8)  4 F 3.14, 4 K 3.14
F 0.0000 0.0000 0.5000 (multiplicity 4)  8 Sb 3.14

Summary:
Total magnetic moment (Bohr magnetons per cell): 0.00
Uncorrected energy (eV/f.u.): -12.7
V (A^3/atom): 23.78
ΔE_f (raw) (meV/atom): -136

=====

[4]
The following is a PBEsol calculation of crystalline Ta4Te at its relaxed geometry, from the Alexandria database.

Lattice parameters (Å, degrees): 7.2954 7.2954 3.4161 90.00 90.00 90.00
Closest atoms and distances in Å follow each position.
Space group I4/m (No. 87)
Unique sites:
Ta 0.1036 0.3079 0.0000 (multiplicity 8)  6 Ta 2.83-2.86, 2 Te 2.92
Te 0.0000 0.0000 0.5000 (multiplicity 2)  12 Ta 2.92-3.21

Summary:
Total magnetic moment (Bohr magnetons per cell): 0.00
Uncorrected energy (eV/f.u.): -53.5
Relative energy among the computed polymorphs (kJ/mol of atoms): 0.0
V (A^3/atom): 18.18
ΔE_f (raw) (meV/atom): 43

=====

[5]
The following is a PBEsol calculation of crystalline FeRu2 at its relaxed geometry, from the Alexandria database.

Lattice parameters (Å, degrees): 2.6335 13.4715 4.1418 90.00 90.00 90.00
Closest atoms and distances in Å follow each position.
Space group Cmcm (No. 63)
Unique sites:
Fe 0.0000 0.2247 0.2500 (multiplicity 4)  6 Ru 2.49-2.59, 6 Fe 2.55-2.63
Ru 0.0000 0.1183 0.7500 (multiplicity 4)  4 Fe 2.49-2.52, 8 Ru 2.58-2.73
Ru 0.0000 0.4412 0.7500 (multiplicity 4)  10 Ru 2.58-2.73, 2 Fe 2.59

Summary:
Total magnetic moment (Bohr magnetons per cell): 0.01
Uncorrected energy (eV/f.u.): -29.1
E_form (eV/f.u.): 0.227
V (A^3/atom): 12.25

=====

[6]
The following is a PBEsol calculation of crystalline CaScAlGe2 at its relaxed geometry, from the Alexandria database.

Lattice parameters (Å, degrees): 4.9371 4.9371 5.0112 90.00 90.00 90.00
Closest atoms and distances in Å follow each position.
Space group P4/mmm (No. 123)
Unique sites:
Ca 0.0000 0.0000 0.0000 (multiplicity 1)  4 Sc 3.49, 8 Ge 3.52
Sc 0.5000 0.5000 0.0000 (multiplicity 1)  2 Al 2.51
Al 0.5000 0.5000 0.5000 (multiplicity 1)  4 Ge 2.47, 2 Sc 2.51
Ge 0.0000 0.5000 0.5000 (multiplicity 2)  2 Al 2.47

Summary:
Total magnetic moment (Bohr magnetons per cell): 0.00
Uncorrected energy (eV/f.u.): -21.7
E_form (eV/f.u.): 1.021
V (A^3/atom): 24.43

=====

[7]
The following is a PBEsol calculation of crystalline NaTl2BAu at its relaxed geometry, from the Alexandria database.

Lattice parameters (Å, degrees): 5.1326 5.1326 4.2294 90.00 90.00 90.00
Closest atoms and distances in Å follow each position.
Space group P4/mmm (No. 123)
Unique sites:
Na 0.0000 0.0000 0.0000 (multiplicity 1)  8 Tl 3.33, 4 Au 3.63
Tl 0.0000 0.5000 0.5000 (multiplicity 2)  2 B 2.57
B 0.5000 0.5000 0.5000 (multiplicity 1)  2 Au 2.11
Au 0.5000 0.5000 0.0000 (multiplicity 1)  2 B 2.11

Summary:
Total magnetic moment (Bohr magnetons per cell): 0.00
Uncorrected energy (eV/f.u.): -16.1
E_form (eV/f.u.): 1.536
V (A^3/atom): 22.28

=====

[8]
The following is a PBEsol calculation of crystalline IrRhAu2 at its relaxed geometry, from the Alexandria database.

Lattice parameters (Å, degrees): 6.2777 6.2777 6.2777 90.00 90.00 90.00
Closest atoms and distances in Å follow each position.
Space group F-43m (No. 216)
Unique sites:
Ir 0.0000 0.0000 0.0000 (multiplicity 4)  4 Au 2.72, 4 Rh 2.72
Rh 0.2500 0.2500 0.7500 (multiplicity 4)  4 Ir 2.72, 4 Au 2.72
Au 0.0000 0.0000 0.5000 (multiplicity 4)  4 Rh 2.72, 4 Au 2.72
Au 0.2500 0.2500 0.2500 (multiplicity 4)  4 Au 2.72, 4 Ir 2.72

Summary:
Total magnetic moment (Bohr magnetons per cell): 0.01
Uncorrected energy (eV/f.u.): -24.0
Relative energy among the computed polymorphs (kJ/mol of atoms): 7.8
E_form (eV/f.u.): 1.811
V (A^3/atom): 15.46

=====

Q: Look up the V of the third one.
A: 23.78 A^3/atom